The following is a DFT calculation (GGA-PBE) of an optimized crystal structure of MgMo2Ru.

Symmetry = P4/mmm (123)
ΔH_f (0 K) = 0.490 eV per atom

a b c (Å): 4.6995 4.6995 2.8445
angles (deg): 90.00 90.00 90.00
Sites, in units of the cell vectors:
Mg  0.0000  0.0000  0.0000
Mo  0.0000  0.5000  0.5000
Mo  0.5000  0.0000  0.5000
Ru  0.5000  0.5000  0.0000